A geometry-optimized RbW3O9 structure. Source: the Alexandria database, functional GGA+U.

## Properties
* magnetization: 0.8 μB per cell
* raw total energy: -7.227 eV per atom
* energy relative to the lowest polymorph listed for this composition: 0.000 eV per atom
* Fermi-level density of states: 1.55 states/eV/f.u.

Cell: 7.526 7.526 3.884 Å, 90.00 90.00 120.00°
Positions (direct):
O 0.210 0.790 0.500
O 0.500 0.500 0.000
O 0.790 0.579 0.500
O 0.000 0.500 0.000
O 0.579 0.790 0.500
O 0.500 0.000 0.000
O 0.790 0.210 0.500
O 0.210 0.421 0.500
O 0.421 0.210 0.500
W 0.000 0.500 0.500
W 0.500 0.000 0.500
W 0.500 0.500 0.500
Rb 0.000 0.000 0.000